PBE-GGA HoTmZn6, relaxed; M_tot = 0.000 μB per atom; formation energy = -2.3 eV per formula unit; final energy = -2.365 eV/atom; mass density = 8.567 g/cm3
1.0
4.633 0.000 0.000
0.000 4.633 0.000
0.000 0.000 6.559
Ho Tm Zn
1 1 6
Direct
0.000 0.000 0.000 Ho
0.500 0.500 0.500 Tm
0.000 0.000 0.500 Zn
0.000 0.500 0.251 Zn
0.000 0.500 0.749 Zn
0.500 0.000 0.251 Zn
0.500 0.000 0.749 Zn
0.500 0.500 0.000 Zn